# 1
Compound: V9Ni11Rh4
Source: Alexandria
Functional: GGA-PBE
Structure: optimized geometry

Structure (POSCAR):
```
V9Ni11Rh4
1.0
2.6166 0.0000 0.0000
0.0000 10.2253 -4.3936
0.0000 -0.0217 11.1292
V Ni Rh
9 11 4
Cartesian
1.3083 6.1196 -0.7342
1.3083 4.0840 7.4699
1.3083 1.7298 5.9158
1.3083 8.4738 0.8198
1.3083 8.1112 7.4955
1.3083 2.0924 -0.7599
1.3083 10.0800 4.5130
1.3083 0.1235 2.2226
1.3083 5.1018 3.3678
0.0000 6.1244 8.2535
0.0000 4.0792 -1.5178
0.0000 9.9962 2.3882
0.0000 0.2073 4.3475
0.0000 6.3534 1.4719
0.0000 3.8502 5.2638
0.0000 8.2565 -1.4111
0.0000 1.9471 8.1468
0.0000 0.0000 0.0000
0.0000 8.1690 5.3926
0.0000 2.0346 1.3431
1.3083 5.9862 5.8601
1.3083 4.2173 0.8756
1.3083 7.7411 3.2017
1.3083 2.4625 3.5340
```

Results
Energy in eV per formula unit: -178.7
D(E_F) in states/eV/f.u.: 30.3

=====

# 2
Compound: V2Ni3Rh2
Source: Alexandria
Functional: GGA-PBE
Structure: optimized geometry

Structure (POSCAR):
```
V2Ni3Rh2
1.0
3.6301 0.0000 0.0000
-1.8150 4.1325 -0.2018
0.0000 -0.4564 5.8775
V Ni Rh
2 3 2
Cartesian
0.0000 0.9704 2.3365
1.8150 2.7057 3.3391
0.0000 1.9993 4.9461
0.0000 0.0000 0.0000
1.8150 1.6768 0.7295
1.8150 0.2914 4.1759
0.0000 3.3846 1.4997
```

Results
Energy in eV per formula unit: -51.8
D(E_F) in states/eV/f.u.: 7.9

=====

# 3
Compound: VNi14Rh
Source: Alexandria
Functional: GGA-PBE
Structure: optimized geometry

Structure (POSCAR):
```
VNi14Rh
1.0
5.0314 -0.3168 0.0000
-2.2634 4.5047 0.0000
0.0000 0.0000 8.2080
V Ni Rh
1 14 1
Cartesian
1.6841 1.8956 4.1040
-0.7343 3.4941 0.0000
2.9028 1.0901 0.0000
-0.8435 2.0575 4.1040
0.3929 1.2483 0.0000
0.5445 4.1576 4.1040
1.7736 3.3372 0.0000
1.6172 0.4494 6.1795
1.6172 0.4494 2.0285
2.9884 2.5240 6.1795
2.9884 2.5240 2.0285
0.4827 2.6897 6.1425
0.4827 2.6897 2.0655
4.1109 0.2916 6.1891
4.1109 0.2916 2.0189
-1.9744 4.3137 4.1040
```

Results
Energy in eV per formula unit: -97.9
D(E_F) in states/eV/f.u.: 25.8

=====

# 4
Compound: V4Ni2Rh3
Source: Alexandria
Functional: GGA-PBE
Structure: optimized geometry

Structure (POSCAR):
```
V4Ni2Rh3
1.0
-0.5308 2.8771 2.3191
-3.9107 -1.7705 -1.7035
-2.8084 -4.9169 5.4573
V Ni Rh
4 2 3
Cartesian
-1.9900 0.7926 1.5662
-1.9693 -3.2869 3.6271
-5.2806 -0.5234 2.4457
-5.2599 -4.6029 4.5066
-3.4256 -1.2979 0.8261
-3.8243 -2.5124 5.2467
-4.3698 -3.0013 2.7234
0.0000 0.0000 0.0000
-2.8802 -0.8089 3.3494
```

Results
Energy in eV per formula unit: -72.6
D(E_F) in states/eV/f.u.: 10.1

=====

# 5
Compound: V3Ni6Rh
Source: Alexandria
Functional: GGA-PBE
Structure: optimized geometry

Structure (POSCAR):
```
V3Ni6Rh
1.0
6.6332 0.0000 0.1112
0.0000 6.3276 0.0000
0.3190 0.0000 5.8868
V Ni Rh
6 12 2
Cartesian
4.0293 5.2725 4.2067
3.3166 3.1638 0.0556
2.9228 1.0552 1.7914
0.5532 4.2190 1.2077
0.1595 0.0000 2.9434
6.3989 2.1086 4.7904
4.5524 0.7747 5.7258
4.7264 1.0249 3.3848
5.5144 2.2085 1.4121
1.4378 4.1191 4.5860
2.2258 5.3027 2.6132
2.3998 5.5530 0.2722
1.0763 2.3891 2.7268
1.2503 2.1389 0.3858
2.3573 0.9553 4.2999
4.5949 5.3723 1.6981
5.7019 4.1887 5.6122
5.8759 3.9385 3.2712
3.4761 3.1638 2.9990
0.0000 0.0000 0.0000
```

Results
Energy in eV per formula unit: -69.5
D(E_F) in states/eV/f.u.: 11.3

=====

# 6
Compound: VNi8Rh2
Source: Alexandria
Functional: GGA-PBE
Structure: optimized geometry

Structure (POSCAR):
```
VNi8Rh2
1.0
3.4573 0.0000 -0.9938
-0.5533 5.3707 -1.9247
0.0553 0.5047 6.7029
V Ni Rh
1 8 2
Cartesian
1.7287 0.0000 -0.4969
1.7938 2.4719 -0.2705
1.0978 0.7931 3.8190
0.3711 1.0712 1.2910
-0.2471 3.9614 -0.8596
2.5882 4.8041 2.4934
1.8615 5.0822 -0.0347
1.1656 3.4034 4.0548
3.2065 1.9139 4.6440
0.4443 3.6593 1.5457
2.5150 2.2160 2.2387
```

Results
Energy in eV per formula unit: -70.9
D(E_F) in states/eV/f.u.: 16.9

=====

# 7
Compound: VNi4Rh
Source: Alexandria
Functional: GGA-PBE
Structure: optimized geometry

Structure (POSCAR):
```
VNi4Rh
1.0
7.6051 1.3792 2.8179
-2.6554 3.9479 -0.9942
0.8051 -1.1969 4.6416
V Ni Rh
2 8 2
Cartesian
2.4148 2.7528 4.1445
-0.9252 1.3755 1.8237
1.3814 1.9752 0.8698
4.3261 2.2252 5.5185
0.9897 0.8426 3.1906
-0.6968 3.3500 0.4568
6.4480 0.7855 6.0156
0.4999 3.2857 2.7776
4.7686 3.2822 3.2676
5.3022 0.7741 3.7647
0.0000 0.0000 0.0000
3.3400 1.3773 2.3208
```

Results
Energy in eV per formula unit: -39.5
D(E_F) in states/eV/f.u.: 7.1

=====

# 8
Compound: VNi8Rh2
Source: Alexandria
Functional: GGA-PBE
Structure: optimized geometry

Structure (POSCAR):
```
VNi8Rh2
1.0
-1.3336 -0.2242 -4.3003
4.9813 -3.2674 -3.8854
1.6848 -6.3598 -2.7019
V Ni Rh
1 8 2
Cartesian
0.0000 0.0000 0.0000
2.7175 -6.5250 -4.8674
0.9664 -4.8730 -5.4283
3.7018 -7.2875 -8.7308
1.6308 -2.5639 -2.1569
4.3662 -4.9784 -5.4593
2.6151 -3.3264 -6.0202
2.8161 -5.7390 -7.1518
2.5166 -4.1124 -3.7359
4.9782 -7.8800 -6.7238
0.3544 -1.9714 -4.1639
```

Results
Energy in eV per formula unit: -69.5
D(E_F) in states/eV/f.u.: 17.7